A) The following is a DFT calculation (GGA-PBE) of a relaxed structure of YNbAg2.

Values from the calculation:
Crystal system = tetragonal
Calculated density = 7.45 g/cm3
N(E_F) = 5.7 states/eV/f.u.

Unit cell a=7.906 b=7.906 c=5.673 alpha=90.00 beta=90.00 gamma=90.00
Space group I-42d (No. 122)
Asymmetric unit:
Y 0.000 0.000 0.000
Nb 0.000 0.000 0.500
Ag 0.225 0.250 0.625

---

B) The following is a DFT calculation (GGA-PBE) of a relaxed structure of YNbAg2.

Values from the calculation:
Crystal system = cubic
Calculated density = 7.79 g/cm3
N(E_F) = 4.0 states/eV/f.u.

Unit cell a=6.973 b=6.973 c=6.973 alpha=90.00 beta=90.00 gamma=90.00
Space group Fm-3m (No. 225)
Asymmetric unit:
Y 0.000 0.000 0.000
Nb 0.000 0.000 0.500
Ag 0.250 0.250 0.250

---

The structure with the greatest stability is B).

---

A) The following is a DFT calculation (GGA-PBE) of a relaxed structure of Nb3ZnAg.

Values from the calculation:
Crystal system = cubic
Calculated density = 6.28 g/cm3
N(E_F) = 6.9 states/eV/f.u.

Unit cell a=4.925 b=4.925 c=4.925 alpha=90.00 beta=90.00 gamma=90.00
Space group Pm-3m (No. 221)
Asymmetric unit:
Nb 0.000 0.000 0.500
Zn 0.500 0.500 0.500
Ag 0.000 0.000 0.000

---

B) The following is a DFT calculation (GGA-PBE) of a relaxed structure of Nb3ZnAg.

Values from the calculation:
Crystal system = cubic
Calculated density = 7.12 g/cm3
N(E_F) = 5.3 states/eV/f.u.

Unit cell a=4.724 b=4.724 c=4.724 alpha=90.00 beta=90.00 gamma=90.00
Space group Pm-3m (No. 221)
Asymmetric unit:
Nb 0.000 0.000 0.500
Zn 0.000 0.000 0.000
Ag 0.500 0.500 0.500

---

The structure with the greatest stability is B).

---

A) The following is a DFT calculation (GGA-PBE) of a relaxed structure of NbZnAg.

Values from the calculation:
Crystal system = tetragonal
Calculated density = 8.83 g/cm3
N(E_F) = 1.0 states/eV/f.u.

Unit cell a=2.898 b=2.898 c=11.918 alpha=90.00 beta=90.00 gamma=90.00
Space group I4mm (No. 107)
Asymmetric unit:
Nb 0.000 0.000 0.000
Zn 0.000 0.000 0.659
Ag 0.000 0.000 0.316

---

B) The following is a DFT calculation (GGA-PBE) of a relaxed structure of NbZnAg.

Values from the calculation:
Crystal system = orthorhombic
Calculated density = 8.28 g/cm3
N(E_F) = 1.5 states/eV/f.u.

Unit cell a=5.140 b=7.711 c=10.777 alpha=90.00 beta=90.00 gamma=90.00
Space group Fmmm (No. 69)
Asymmetric unit:
Nb 0.000 0.165 0.000
Zn 0.000 0.000 0.384
Ag 0.250 0.250 0.250

---

The structure with the greatest stability is A).